A geometry-optimized Rb2BaMo3F12 structure, computed with PBE with a Hubbard U.

a = 7.7786 Å, b = 7.7786 Å, c = 7.7786 Å
α = 59.31°, β = 59.31°, γ = 59.31°
Sites, in units of the cell vectors:
Rb: 0.6212 0.6212 0.6212
Rb: 0.3788 0.3788 0.3788
Ba: 0.0000 0.0000 0.0000
Mo: 0.5000 0.0000 0.0000
Mo: 0.0000 0.5000 0.0000
Mo: 0.0000 0.0000 0.5000
F: 0.2832 0.2832 0.8512
F: 0.8741 0.8741 0.4244
F: 0.4244 0.8741 0.8741
F: 0.8512 0.2832 0.2832
F: 0.8741 0.4244 0.8741
F: 0.2832 0.8512 0.2832
F: 0.7168 0.7168 0.1488
F: 0.1259 0.1259 0.5756
F: 0.5756 0.1259 0.1259
F: 0.1488 0.7168 0.7168
F: 0.1259 0.5756 0.1259
F: 0.7168 0.1488 0.7168

Results
Raw total energy: -96.2 eV/cell
Magnetization: 7.999 Bohr magnetons per cell
Calculated volume: 328 Å³ per cell